MgSn2Ge2Pd7 after structural relaxation. Source: Alexandria via LeMat-Bulk, functional PBE-GGA.

abc: 3.906 3.906 14.346
angles: 97.49 97.49 90.05
Fractional positions:
Mg: 0.000 0.000 0.000
Sn: 0.181 0.181 0.371
Sn: 0.819 0.819 0.629
Ge: 0.375 0.375 0.742
Ge: 0.625 0.625 0.258
Pd: 0.070 0.570 0.147
Pd: 0.287 0.287 0.562
Pd: 0.430 0.930 0.853
Pd: 0.500 0.500 0.000
Pd: 0.570 0.070 0.147
Pd: 0.713 0.713 0.438
Pd: 0.930 0.430 0.853

Values from the calculation:
Its total moment is 0.0 μB per cell. The space-group type is No. 12. The calculated volume is 17.9 A^3/atom. As for the formation energy: -376 meV per atom. The calculation puts the total energy at -59.70 eV per cell.